(1)
Density functional theory data (GGA-PBE) for an optimized crystal structure of SrLa2Sm.

The value obtained for the energy is -15.9 eV for the cell shown. As for the symmetry: R3m, No. 160. As for the magnetic moment: 0.00 μB per cell. The energy of formation from the pure elements comes out at 0.082 eV per atom.

Cell lengths 3.8099, 3.8099, 12.8094 Å; angles 81.45, 81.45, 60.00 degrees
Sites, in units of the cell vectors:
Sr  0.6673  0.6673  0.9982
La  0.0900  0.0900  0.7301
La  0.2430  0.2430  0.2711
Sm  0.4998  0.4998  0.5007

---

(2)
Density functional theory data (GGA-PBE) for an optimized crystal structure of SrLa2Sm.

The value obtained for the energy is -15.9 eV for the cell shown. As for the symmetry: P4/mmm, No. 123. As for the magnetic moment: 0.00 μB per cell. The energy of formation from the pure elements comes out at 0.078 eV per atom.

Cell lengths 3.7848, 3.7848, 11.0317 Å; angles 90.00, 90.00, 90.00 degrees
Sites, in units of the cell vectors:
Sr  0.5000  0.5000  0.5000
Sm  0.5000  0.5000  0.0000
La  0.0000  0.0000  0.7778
La  0.0000  0.0000  0.2222

---

(3)
Density functional theory data (GGA-PBE) for an optimized crystal structure of SrLa2Sm.

The value obtained for the energy is -15.6 eV for the cell shown. As for the symmetry: R-3m, No. 166. As for the magnetic moment: 0.00 μB per cell. The energy of formation from the pure elements comes out at 0.158 eV per atom.

Cell lengths 3.7224, 3.7224, 13.4545 Å; angles 82.05, 82.05, 60.00 degrees
Sites, in units of the cell vectors:
Sr  0.0000  0.0000  0.0000
Sm  0.5000  0.5000  0.5000
La  0.0924  0.0924  0.7227
La  0.9076  0.9076  0.2773

---

(4)
Density functional theory data (GGA-PBE) for an optimized crystal structure of SrLa2Sm.

The value obtained for the energy is -15.7 eV for the cell shown. As for the symmetry: P4/mmm, No. 123. As for the magnetic moment: 0.00 μB per cell. The energy of formation from the pure elements comes out at 0.150 eV per atom.

Cell lengths 5.3342, 5.4111, 5.4111 Å; angles 90.00, 90.00, 90.00 degrees
Sites, in units of the cell vectors:
Sr  0.5000  0.0000  0.0000
Sm  0.5000  0.5000  0.5000
La  0.0000  0.0000  0.5000
La  0.0000  0.5000  0.0000

---

(5)
Density functional theory data (GGA-PBE) for an optimized crystal structure of SrLa14Sm.

The value obtained for the energy is -74.8 eV for the cell shown. As for the symmetry: P4/mmm, No. 123. As for the magnetic moment: 0.00 μB per cell. The energy of formation from the pure elements comes out at 0.034 eV per atom.

Cell lengths 7.5004, 7.5004, 10.5430 Å; angles 90.00, 90.00, 90.00 degrees
Sites, in units of the cell vectors:
Sr  0.8750  0.8750  0.5000
La  0.8750  0.8750  0.0000
La  0.3750  0.3750  0.0000
La  0.8750  0.3750  0.5000
La  0.8750  0.3750  0.0000
La  0.3750  0.8750  0.5000
La  0.3750  0.8750  0.0000
La  0.6166  0.1334  0.2446
La  0.6166  0.1334  0.7554
La  0.1334  0.6166  0.2446
La  0.1334  0.6166  0.7554
La  0.6166  0.6166  0.2446
La  0.6166  0.6166  0.7554
La  0.1334  0.1334  0.2446
La  0.1334  0.1334  0.7554
Sm  0.3750  0.3750  0.5000

---

(6)
Density functional theory data (GGA-PBE) for an optimized crystal structure of SrLaSm4.

The value obtained for the energy is -24.1 eV for the cell shown. As for the symmetry: F-43m, No. 216. As for the magnetic moment: 0.00 μB per cell. The energy of formation from the pure elements comes out at 0.224 eV per atom.

Cell lengths 6.8997, 6.8997, 6.8997 Å; angles 60.00, 60.00, 60.00 degrees
Sites, in units of the cell vectors:
Sr  0.2500  0.2500  0.2500
Sm  0.6275  0.6275  0.1176
Sm  0.6275  0.1176  0.6275
Sm  0.6275  0.6275  0.6275
Sm  0.1176  0.6275  0.6275
La  0.0000  0.0000  0.0000

---

(7)
Density functional theory data (GGA-PBE) for an optimized crystal structure of SrLaSm14.

The value obtained for the energy is -71.9 eV for the cell shown. As for the symmetry: P4/mmm, No. 123. As for the magnetic moment: 0.00 μB per cell. The energy of formation from the pure elements comes out at 0.049 eV per atom.

Cell lengths 7.3439, 7.3439, 10.3300 Å; angles 90.00, 90.00, 90.00 degrees
Sites, in units of the cell vectors:
Sr  0.8750  0.8750  0.5000
La  0.3750  0.3750  0.5000
Sm  0.8750  0.8750  0.0000
Sm  0.3750  0.3750  0.0000
Sm  0.8750  0.3750  0.5000
Sm  0.8750  0.3750  0.0000
Sm  0.3750  0.8750  0.5000
Sm  0.3750  0.8750  0.0000
Sm  0.6204  0.1296  0.2435
Sm  0.6204  0.1296  0.7565
Sm  0.1296  0.6204  0.2435
Sm  0.1296  0.6204  0.7565
Sm  0.6204  0.6204  0.2435
Sm  0.6204  0.6204  0.7565
Sm  0.1297  0.1297  0.2435
Sm  0.1297  0.1297  0.7565

---

(8)
Density functional theory data (GGA-PBE) for an optimized crystal structure of Sr3La3SmTe8.

For the raw formation energy, the calculation gives -1613 meV per atom. The value obtained for the energy is -73.9 eV for the cell shown. As for the symmetry: R-3m, No. 166. As for the magnetic moment: 0.00 μB per cell.

Cell lengths 9.1887, 9.1883, 9.3501 Å; angles 119.44, 90.00, 120.00 degrees
Sites, in units of the cell vectors:
Sr  0.0000  0.0000  0.0000
Sr  0.0000  0.5000  0.0000
Sr  0.5000  0.5000  0.0000
La  0.5000  0.0000  0.5000
La  0.5000  0.5000  0.5000
La  0.0000  0.5000  0.5000
Sm  0.0000  0.0000  0.5000
Te  0.2517  0.5034  0.2551
Te  0.7483  0.4966  0.7449
Te  0.7559  0.5118  0.2617
Te  0.2441  0.4882  0.7383
Te  0.7560  0.0057  0.2618
Te  0.2440  0.9943  0.7382
Te  0.2497  0.0057  0.2618
Te  0.7503  0.9943  0.7382

---

(9)
Density functional theory data (GGA-PBE) for an optimized crystal structure of Sr3La2SmTe6.

For the raw formation energy, the calculation gives -1598 meV per atom. The value obtained for the energy is -57.6 eV for the cell shown. As for the symmetry: C2/m, No. 12. As for the magnetic moment: 0.00 μB per cell.

Cell lengths 4.5900, 9.3260, 10.4043 Å; angles 104.35, 102.74, 90.00 degrees
Sites, in units of the cell vectors:
Sr  0.5000  0.5000  0.0000
Sr  0.8324  0.1666  0.6648
Sr  0.1676  0.8334  0.3352
La  0.8346  0.6695  0.6692
La  0.1654  0.3305  0.3308
Sm  0.5000  0.0000  0.0000
Te  0.3371  0.9172  0.6741
Te  0.6679  0.5800  0.3358
Te  0.6629  0.0828  0.3259
Te  0.0001  0.2406  0.0002
Te  0.9999  0.7594  0.9998
Te  0.3321  0.4200  0.6642

---

(10)
Density functional theory data (GGA-PBE) for an optimized crystal structure of LaSm2Ta.

The value obtained for the energy is -23.5 eV for the cell shown. As for the symmetry: R-3m, No. 166. As for the magnetic moment: 0.00 μB per cell. The energy of formation from the pure elements comes out at 0.669 eV per atom.

Cell lengths 3.3122, 3.3122, 12.3203 Å; angles 82.27, 82.27, 60.00 degrees
Sites, in units of the cell vectors:
La  0.5000  0.5000  0.5000
Sm  0.0801  0.0801  0.7596
Sm  0.9199  0.9199  0.2404
Ta  0.0000  0.0000  0.0000

---

(11)
Density functional theory data (GGA-PBE) for an optimized crystal structure of LaTb3Sm8.

The value obtained for the energy is -49.5 eV for the cell shown. As for the symmetry: I-42m, No. 121. As for the magnetic moment: 0.01 μB per cell. The energy of formation from the pure elements comes out at 0.591 eV per atom.

Cell lengths 8.4444, 8.4444, 8.4445 Å; angles 94.28, 117.56, 117.56 degrees
Sites, in units of the cell vectors:
La  0.0000  0.0000  0.0000
Tb  0.5000  0.7500  0.2500
Tb  0.5000  0.2500  0.7500
Tb  0.0000  0.5000  0.5000
Sm  0.5023  0.2546  0.2546
Sm  0.4977  0.7523  0.7523
Sm  0.0000  0.7454  0.2477
Sm  0.0000  0.2477  0.7454
Sm  0.2475  0.3754  0.3754
Sm  0.7525  0.1279  0.1279
Sm  0.0000  0.6246  0.8721
Sm  0.0000  0.8721  0.6246

---

(12)
Density functional theory data (GGA-PBE) for an optimized crystal structure of La2Tb5Sm12.

The value obtained for the energy is -87.1 eV for the cell shown. As for the symmetry: C2/m, No. 12. As for the magnetic moment: 0.00 μB per cell. The energy of formation from the pure elements comes out at 0.134 eV per atom.

Cell lengths 9.3589, 12.5180, 8.7790 Å; angles 132.75, 90.00, 111.95 degrees
Sites, in units of the cell vectors:
La  0.6707  0.0000  0.0000
La  0.3293  0.0000  0.0000
Tb  0.2914  0.5828  0.6133
Tb  0.2312  0.4623  0.8928
Tb  0.0000  0.0000  0.5000
Tb  0.7688  0.5377  0.1072
Tb  0.7086  0.4172  0.3867
Sm  0.0756  0.1512  0.2746
Sm  0.0288  0.6989  0.9397
Sm  0.6701  0.6989  0.9397
Sm  0.1762  0.7406  0.4135
Sm  0.5644  0.7406  0.4135
Sm  0.5611  0.1222  0.7794
Sm  0.4389  0.8778  0.2206
Sm  0.8238  0.2594  0.5865
Sm  0.4356  0.2594  0.5865
Sm  0.9712  0.3011  0.0603
Sm  0.3299  0.3011  0.0603
Sm  0.9244  0.8488  0.7254

---

(13)
Density functional theory data (GGA-PBE) for an optimized crystal structure of La7Tb3Sm.

The value obtained for the energy is -51.2 eV for the cell shown. As for the symmetry: P3m1, No. 156. As for the magnetic moment: 0.00 μB per cell. The energy of formation from the pure elements comes out at 0.171 eV per atom.

Cell lengths 8.6978, 7.3142, 7.3142 Å; angles 120.00, 90.00, 90.00 degrees
Sites, in units of the cell vectors:
La  0.1022  0.1648  0.8352
La  0.1022  0.1648  0.3296
La  0.1312  0.6667  0.3333
La  0.4632  0.8353  0.1647
La  0.4632  0.3294  0.1647
La  0.4632  0.8353  0.6706
La  0.1022  0.6704  0.8352
Tb  0.7827  0.4998  0.5002
Tb  0.7827  0.4998  0.9996
Tb  0.7827  0.0004  0.5002
Sm  0.4397  0.3333  0.6667

---

(14)
Density functional theory data (GGA-PBE) for an optimized crystal structure of La4Tb5Sm4.

The value obtained for the energy is -61.4 eV for the cell shown. As for the symmetry: I4/m, No. 87. As for the magnetic moment: 0.00 μB per cell. The energy of formation from the pure elements comes out at 0.024 eV per atom.

Cell lengths 5.1485, 9.6394, 9.6394 Å; angles 85.91, 74.51, 74.51 degrees
Sites, in units of the cell vectors:
La  0.9217  0.4614  0.6953
La  0.6169  0.3047  0.4614
La  0.0783  0.5386  0.3047
La  0.3831  0.6953  0.5386
Tb  0.6883  0.8513  0.7721
Tb  0.3117  0.1487  0.2279
Tb  0.0000  0.0000  0.0000
Tb  0.5396  0.7721  0.1487
Tb  0.4604  0.2279  0.8513
Sm  0.7711  0.3815  0.0763
Sm  0.2289  0.6185  0.9237
Sm  0.8474  0.9238  0.3815
Sm  0.1526  0.0762  0.6185

---

(15)
Density functional theory data (GGA-PBE) for an optimized crystal structure of La3Tb5Sm3.

The value obtained for the energy is -44.0 eV for the cell shown. As for the symmetry: P-62m, No. 189. As for the magnetic moment: 0.00 μB per cell. The energy of formation from the pure elements comes out at 0.733 eV per atom.

Cell lengths 5.4366, 9.6693, 9.6693 Å; angles 120.00, 90.00, 90.00 degrees
Sites, in units of the cell vectors:
La  0.5000  0.6380  0.6380
La  0.5000  0.0000  0.3620
La  0.5000  0.3620  0.0000
Tb  0.5000  0.3333  0.6667
Tb  0.5000  0.6667  0.3333
Tb  0.5000  0.2722  0.2722
Tb  0.5000  0.0000  0.7278
Tb  0.5000  0.7278  0.0000
Sm  0.0000  0.4874  0.4874
Sm  0.0000  0.5126  0.0000
Sm  0.0000  0.0000  0.5126

---

(16)
Density functional theory data (GGA-PBE) for an optimized crystal structure of La3TbSm8.

The value obtained for the energy is -50.6 eV for the cell shown. As for the symmetry: I-42m, No. 121. As for the magnetic moment: 0.00 μB per cell. The energy of formation from the pure elements comes out at 0.547 eV per atom.

Cell lengths 8.5105, 8.5105, 8.5104 Å; angles 95.16, 117.06, 117.07 degrees
Sites, in units of the cell vectors:
La  0.5000  0.7500  0.2500
La  0.5000  0.2500  0.7500
La  0.0000  0.5000  0.5000
Tb  0.0000  0.0000  0.0000
Sm  0.4966  0.2435  0.2435
Sm  0.5034  0.7468  0.7468
Sm  0.0000  0.7565  0.2532
Sm  0.0000  0.2532  0.7565
Sm  0.2446  0.3705  0.3705
Sm  0.7554  0.1259  0.1259
Sm  0.0000  0.6295  0.8741
Sm  0.0000  0.8741  0.6295

---

(17)
Density functional theory data (GGA-PBE) for an optimized crystal structure of La2Tb2Sm15.

The value obtained for the energy is -85.2 eV for the cell shown. As for the symmetry: R-3m, No. 166. As for the magnetic moment: 0.02 μB per cell. The energy of formation from the pure elements comes out at 0.249 eV per atom.

Cell lengths 8.8863, 8.8863, 8.8863 Å; angles 79.94, 79.94, 79.94 degrees
Sites, in units of the cell vectors:
La  0.6744  0.6744  0.6744
La  0.3256  0.3256  0.3256
Tb  0.9064  0.9064  0.9064
Tb  0.0936  0.0936  0.0936
Sm  0.0000  0.5000  0.0000
Sm  0.0000  0.0000  0.5000
Sm  0.5000  0.0000  0.0000
Sm  0.2950  0.0000  0.7050
Sm  0.7050  0.2950  0.0000
Sm  0.0000  0.7050  0.2950
Sm  0.2950  0.7050  0.0000
Sm  0.0000  0.2950  0.7050
Sm  0.7050  0.0000  0.2950
Sm  0.3701  0.8490  0.3701
Sm  0.3701  0.3701  0.8490
Sm  0.8490  0.3701  0.3701
Sm  0.6299  0.1510  0.6299
Sm  0.6299  0.6299  0.1510
Sm  0.1510  0.6299  0.6299

---

(18)
Density functional theory data (GGA-PBE) for an optimized crystal structure of La8Tb5Sm.

The value obtained for the energy is -64.0 eV for the cell shown. As for the symmetry: I-4, No. 82. As for the magnetic moment: 0.00 μB per cell. The energy of formation from the pure elements comes out at 0.232 eV per atom.

Cell lengths 8.6846, 8.6846, 8.6846 Å; angles 111.27, 105.92, 111.27 degrees
Sites, in units of the cell vectors:
La  0.1674  0.7300  0.0692
La  0.9308  0.0982  0.6608
La  0.7328  0.2598  0.3346
La  0.6654  0.3982  0.9252
La  0.5269  0.6018  0.2672
La  0.5626  0.9018  0.8326
La  0.3392  0.2700  0.4374
La  0.0748  0.7402  0.4731
Tb  0.0333  0.3080  0.1299
Tb  0.8701  0.9034  0.1781
Tb  0.8219  0.6920  0.7254
Tb  0.5000  0.0000  0.5000
Tb  0.2746  0.0966  0.9667
Sm  0.2500  0.5000  0.7500

---

(19)
Density functional theory data (GGA-PBE) for an optimized crystal structure of LaTb2Sm9.

The value obtained for the energy is -56.4 eV for the cell shown. As for the symmetry: P4/mmm, No. 123. As for the magnetic moment: 0.00 μB per cell. The energy of formation from the pure elements comes out at 0.020 eV per atom.

Cell lengths 5.1261, 5.1261, 15.4090 Å; angles 90.00, 90.00, 90.00 degrees
Sites, in units of the cell vectors:
La  0.0000  0.0000  0.0000
Tb  0.0000  0.0000  0.3345
Tb  0.0000  0.0000  0.6655
Sm  0.5000  0.5000  0.0000
Sm  0.5000  0.5000  0.3356
Sm  0.5000  0.5000  0.6644
Sm  0.5000  0.0000  0.1698
Sm  0.5000  0.0000  0.5000
Sm  0.5000  0.0000  0.8302
Sm  0.0000  0.5000  0.1698
Sm  0.0000  0.5000  0.5000
Sm  0.0000  0.5000  0.8302

---

(20)
Density functional theory data (GGA-PBE) for an optimized crystal structure of LaTb3Sm4.

The value obtained for the energy is -36.7 eV for the cell shown. As for the symmetry: Immm, No. 71. As for the magnetic moment: 0.00 μB per cell. The energy of formation from the pure elements comes out at 0.127 eV per atom.

Cell lengths 3.4860, 11.7844, 8.9834 Å; angles 130.98, 101.19, 90.00 degrees
Sites, in units of the cell vectors:
Tb  0.0000  0.5000  0.0000
Tb  0.2416  0.2415  0.4832
Tb  0.7584  0.7585  0.5168
Sm  0.3661  0.6153  0.7322
Sm  0.6339  0.3847  0.2678
Sm  0.6340  0.8834  0.2679
Sm  0.3660  0.1166  0.7321
La  0.5000  0.0000  0.0000

---

(21)
Density functional theory data (GGA-PBE) for an optimized crystal structure of LaTb4Sm10.

The value obtained for the energy is -62.9 eV for the cell shown. As for the symmetry: I4/m, No. 87. As for the magnetic moment: 0.00 μB per cell. The energy of formation from the pure elements comes out at 0.517 eV per atom.

Cell lengths 6.8128, 9.6489, 9.6489 Å; angles 82.84, 69.33, 69.33 degrees
Sites, in units of the cell vectors:
La  0.0000  0.0000  0.0000
Tb  0.4330  0.8892  0.2449
Tb  0.6778  0.7551  0.8892
Tb  0.3222  0.2449  0.1108
Tb  0.5670  0.1108  0.7551
Sm  0.2500  0.5000  0.5000
Sm  0.6231  0.4203  0.8377
Sm  0.9566  0.1623  0.4203
Sm  0.5393  0.8377  0.5797
Sm  0.8810  0.5797  0.1623
Sm  0.3769  0.5797  0.1623
Sm  0.7500  0.5000  0.5000
Sm  0.1190  0.4203  0.8377
Sm  0.4607  0.1623  0.4203
Sm  0.0434  0.8377  0.5797